NpNiAuO6 | PBE+U | relaxed

Properties
**Space group**: P-31c
**E_tot**: -6.7288 eV/atom
**Volume**: 12.53 A^3/atom
**Fermi-level density of states**: 10.72 states/eV/cell

Lattice parameters (Å, degrees): 5.309 5.309 9.236 90.00 90.00 120.00
Fractional coordinates of all 18 atoms:
1 Np 0.333 0.667 0.250
2 Np 0.667 0.333 0.750
3 Ni 0.333 0.667 0.750
4 Ni 0.667 0.333 0.250
5 Au 0.000 0.000 0.000
6 Au 0.000 0.000 0.500
7 O 0.005 0.350 0.132
8 O 0.005 0.655 0.368
9 O 0.345 0.350 0.368
10 O 0.345 0.995 0.132
11 O 0.350 0.005 0.632
12 O 0.350 0.345 0.868
13 O 0.650 0.655 0.132
14 O 0.650 0.995 0.368
15 O 0.655 0.005 0.868
16 O 0.655 0.650 0.632
17 O 0.995 0.345 0.632
18 O 0.995 0.650 0.868